(i)
## CsCo3O (GGA+U)

Data for a geometry-optimized CsCo3O structure.

## Properties
Crystal system = cubic

POSCAR file:
```
CsCo3O
1.0
4.322 0.000 0.000
0.000 4.322 0.000
0.000 0.000 4.322
Cs Co O
1 3 1
Cartesian
2.161 2.161 2.161
0.000 2.161 0.000
0.000 0.000 2.161
2.161 0.000 0.000
0.000 0.000 0.000
```

(ii)
## CsCo3O (GGA+U)

Data for a geometry-optimized CsCo3O structure.

## Properties
Crystal system = cubic

POSCAR file:
```
CsCo3O
1.0
5.098 0.000 0.000
0.000 5.098 0.000
0.000 0.000 5.098
Cs Co O
1 3 1
Cartesian
0.000 0.000 0.000
0.000 2.549 0.000
0.000 0.000 2.549
2.549 0.000 0.000
2.549 2.549 2.549
```

Most stable to least stable, the ends of the list are (i) and (ii).

(i)
## Cs3CoO3 (GGA+U)

Data for a geometry-optimized Cs3CoO3 structure.

## Properties
Crystal system = monoclinic

POSCAR file:
```
Cs3CoO3
1.0
-1.279 2.487 -5.475
6.025 -4.115 -3.277
-5.737 -5.030 -0.945
Cs Co O
6 2 6
Cartesian
-2.266 -4.688 -6.778
-5.451 -2.770 -5.163
-2.054 -0.953 -5.131
1.276 -1.969 -2.919
4.461 -3.888 -4.534
1.064 -5.705 -4.566
-2.669 -4.028 -2.932
1.679 -2.630 -6.765
-1.849 -5.378 -3.737
-4.434 -4.253 -2.622
-1.896 -2.510 -2.423
0.859 -1.280 -5.960
3.444 -2.405 -7.075
0.906 -4.148 -7.274
```

(ii)
## Cs3CoO3 (GGA+U)

Data for a geometry-optimized Cs3CoO3 structure.

## Properties
Crystal system = trigonal

POSCAR file:
```
Cs3CoO3
1.0
4.994 0.000 0.000
-1.665 6.851 0.000
-1.665 -3.426 5.933
Cs Co O
3 1 3
Cartesian
0.980 1.746 3.024
-0.685 -1.680 2.909
-0.685 3.360 0.000
1.771 0.000 0.000
-1.612 2.532 4.385
1.717 -0.894 1.548
1.717 1.788 0.000
```

Most stable to least stable, the ends of the list are (i) and (ii).